[1]
Entry from Alexandria via LeMat-Bulk: RbSiN2F at its PBEsol-relaxed geometry (meta-GGA SCAN).

abc: 4.4746 4.4746 4.6861
angles: 90.00 90.00 90.00
Space group P4/mmm (No. 123)
Unique sites:
Rb1 0.0000 0.0000 0.0000
Si1 0.5000 0.5000 0.5000
N1 0.0000 0.5000 0.0000
F1 0.0000 0.0000 0.5000

Results
* total magnetic moment: 3.8 μB/cell
* volume: 93.8 Å³/f.u.
* DOS(E_F): 0.614 states/eV per atom
* excess energy over the best structure of this formula in the dataset: 2745.1 meV/atom



[2]
Entry from Alexandria via LeMat-Bulk: RbSiN2F at its PBEsol-relaxed geometry (meta-GGA SCAN).

abc: 3.5266 3.5266 5.0165
angles: 90.00 90.00 90.00
Space group P4/mmm (No. 123)
Unique sites:
Rb1 0.0000 0.0000 0.0000
Si1 0.5000 0.5000 0.5000
N1 0.0000 0.5000 0.5000
F1 0.5000 0.5000 0.0000

Results
* total magnetic moment: 0.0 μB/cell
* volume: 62.4 Å³/f.u.
* DOS(E_F): 0.358 states/eV per atom
* excess energy over the best structure of this formula in the dataset: 0.0 meV/atom